BePdPbAu | PBE | relaxed

Lattice parameters (Å, degrees): 3.722 3.722 6.605 104.97 104.97 60.09
Fractional coordinates of all 4 atoms:
Be 0.000 0.000 0.000
Pd 0.378 0.378 0.146
Pb 0.160 0.160 0.482
Au 0.618 0.618 0.841

Properties
symmetry: No. 8
formation energy: -13 kJ/mol of atoms
DOS at the Fermi energy: 0.28 states/eV/atom
excess energy over the best structure of this formula in the dataset: 0.020 eV/atom
uncorrected energy: -16.5 eV for the cell shown